# Mg3NiO (GGA+U, relaxed)
data_Mg3NiO
_symmetry_space_group_name_H-M 'P m -3 m'
_symmetry_Int_Tables_number 221
_symmetry_space_group_name_Hall '-P 4 2 3'
_cell_length_a 4.1525
_cell_length_b 4.1525
_cell_length_c 4.1525
_cell_angle_alpha 90.00
_cell_angle_beta 90.00
_cell_angle_gamma 90.00
loop_
_atom_site_label
_atom_site_type_symbol
_atom_site_fract_x
_atom_site_fract_y
_atom_site_fract_z
Mg1 Mg 0.0000 0.0000 0.5000
Ni1 Ni 0.5000 0.5000 0.5000
O1 O 0.0000 0.0000 0.0000
# Fermi-level density of states: 1.3 states/eV/f.u.
# Raw total energy: -15.45 eV per cell
# Relative energy among the computed polymorphs: 0.000 kcal/mol of atoms